# 1
{"formula": "GdGeO2", "functional": "GGA-PBE", "state": "optimized geometry", "m_tot_mub_per_fu": 7.081, "total_energy_ev_per_atom": -8.355, "lattice": [[1.737, 1.003, 6.545], [-1.737, 1.003, 6.545], [0.000, -2.006, 6.545]], "species": ["Gd", "Ge", "O", "O"], "frac_coords": [[0.000, 0.000, 0.000], [0.500, 0.500, 0.500], [0.112, 0.112, 0.112], [0.888, 0.888, 0.888]]}

# 2
{"formula": "GdGeOs", "functional": "GGA-PBE", "state": "optimized geometry", "m_tot_mub_per_fu": 6.858, "e_form_ev_per_atom": -0.353, "lattice": [[4.338, 0.000, 0.000], [-2.169, 3.757, 0.000], [0.000, 0.000, 3.717]], "species": ["Gd", "Ge", "Os"], "frac_coords": [[0.000, 0.000, 0.000], [0.333, 0.667, 0.500], [0.667, 0.333, 0.500]]}

# 3
{"formula": "Gd3Ge13Os4", "functional": "GGA-PBE", "state": "optimized geometry", "m_tot_mub_per_fu": 20.816, "e_form_ev_per_atom": -0.344, "lattice": [[9.105, 0.000, 0.000], [0.000, 9.105, 0.000], [0.000, 0.000, 9.105]], "species": ["Gd", "Gd", "Gd", "Gd", "Gd", "Gd", "Ge", "Ge", "Ge", "Ge", "Ge", "Ge", "Ge", "Ge", "Ge", "Ge", "Ge", "Ge", "Ge", "Ge", "Ge", "Ge", "Ge", "Ge", "Ge", "Ge", "Ge", "Ge", "Ge", "Ge", "Ge", "Ge", "Os", "Os", "Os", "Os", "Os", "Os", "Os", "Os"], "frac_coords": [[0.000, 0.250, 0.500], [0.000, 0.750, 0.500], [0.250, 0.500, 0.000], [0.500, 0.000, 0.250], [0.500, 0.000, 0.750], [0.750, 0.500, 0.000], [0.000, 0.000, 0.000], [0.000, 0.297, 0.145], [0.000, 0.297, 0.855], [0.000, 0.703, 0.145], [0.000, 0.703, 0.855], [0.145, 0.000, 0.297], [0.145, 0.000, 0.703], [0.203, 0.500, 0.355], [0.203, 0.500, 0.645], [0.297, 0.145, 0.000], [0.297, 0.855, 0.000], [0.355, 0.203, 0.500], [0.355, 0.797, 0.500], [0.500, 0.355, 0.203], [0.500, 0.355, 0.797], [0.500, 0.500, 0.500], [0.500, 0.645, 0.203], [0.500, 0.645, 0.797], [0.645, 0.203, 0.500], [0.645, 0.797, 0.500], [0.703, 0.145, 0.000], [0.703, 0.855, 0.000], [0.797, 0.500, 0.355], [0.797, 0.500, 0.645], [0.855, 0.000, 0.297], [0.855, 0.000, 0.703], [0.250, 0.250, 0.250], [0.250, 0.250, 0.750], [0.250, 0.750, 0.250], [0.250, 0.750, 0.750], [0.750, 0.250, 0.250], [0.750, 0.250, 0.750], [0.750, 0.750, 0.250], [0.750, 0.750, 0.750]]}

# 4
{"formula": "PmGdGeOs", "functional": "GGA-PBE", "state": "optimized geometry", "m_tot_mub_per_fu": 7.030, "e_form_ev_per_atom": -0.265, "lattice": [[0.000, 3.553, 3.553], [3.553, 0.000, 3.553], [3.553, 3.553, 0.000]], "species": ["Pm", "Gd", "Ge", "Os"], "frac_coords": [[0.000, 0.000, 0.000], [0.500, 0.500, 0.500], [0.250, 0.250, 0.250], [0.750, 0.750, 0.750]]}

# 5
{"formula": "Gd2GeP", "functional": "GGA-PBE", "state": "optimized geometry", "m_tot_mub_per_fu": 13.993, "e_form_ev_per_atom": -1.127, "lattice": [[1.999, 1.154, 7.149], [-1.999, 1.154, 7.149], [0.000, -2.308, 7.149]], "species": ["Gd", "Gd", "Ge", "P"], "frac_coords": [[0.244, 0.244, 0.244], [0.756, 0.756, 0.756], [0.000, 0.000, 0.000], [0.500, 0.500, 0.500]]}

# 6
{"formula": "GdPaGe2", "functional": "GGA-PBE", "state": "optimized geometry", "m_tot_mub_per_fu": 7.316, "polymorph_energy_ev_per_atom": 0.1053, "e_form_ev_per_atom": -0.509, "lattice": [[3.344, 0.000, 0.000], [0.000, 3.344, 0.000], [0.000, 0.000, 8.003]], "species": ["Gd", "Pa", "Ge", "Ge"], "frac_coords": [[0.000, 0.000, 0.000], [0.000, 0.000, 0.500], [0.500, 0.500, 0.253], [0.500, 0.500, 0.747]]}